Computed, not measured: a relaxed Rb2BPBr6 crystal at the GGA-PBE level of DFT.

Cell: 7.547 7.547 7.547 Å, 114.87 114.87 99.13°
Element x y z (fractional)
Rb: 0.250 0.750 0.500
Rb: 0.750 0.250 0.500
B: 0.000 0.000 0.000
P: 0.500 0.500 0.000
Br: 0.195 0.195 0.000
Br: 0.272 0.272 0.544
Br: 0.272 0.728 0.000
Br: 0.728 0.272 0.000
Br: 0.728 0.728 0.456
Br: 0.805 0.805 0.000

Calculated values
E_form (uncorrected) ... -531 kJ/mol of formula units
Energy ... -29.6 eV for the cell shown
SG ... No. 139
Calculated volume ... 32.307 Å³/atom
Calculated density ... 3.56 g cm⁻³